Record 1
The following is a PBE calculation of a relaxed TiCo4 crystal, from Alexandria.

POSCAR file:
```
TiCo4
1.0
0.000 4.079 4.079
4.079 0.000 4.079
4.079 4.079 0.000
Ti Co
2 8
Cartesian
2.040 2.040 2.040
0.000 0.000 0.000
6.928 6.928 6.928
5.309 6.928 5.309
5.309 5.309 6.928
4.889 3.269 4.889
3.269 3.269 3.269
6.928 5.309 5.309
4.889 4.889 3.269
3.269 4.889 4.889
```

**Energy above the most stable polymorph in this dataset**: 0 meV per atom
**ΔE_f**: 0.73 eV/atom


Record 2
The following is a PBE calculation of a relaxed YZn2Ir crystal, from Alexandria.

POSCAR file:
```
YZn2Ir
1.0
4.115 0.000 0.000
0.000 4.115 0.000
2.057 2.057 9.456
Y Zn Ir
2 4 2
Cartesian
2.057 2.057 0.000
2.057 4.115 4.728
3.469 1.029 2.364
0.646 3.086 2.364
3.086 2.703 7.092
5.143 5.526 7.092
0.000 0.000 0.000
4.115 2.057 4.728
```

**ΔE_f**: -0.21 eV/atom


Record 3
The following is a PBE calculation of a relaxed ScMn6Ge6 crystal, from Alexandria.

POSCAR file:
```
ScMn6Ge6
1.0
-3.716 3.487 0.472
-0.889 -4.876 1.274
2.411 1.543 7.588
Sc Mn Ge
1 6 6
Cartesian
1.206 0.771 3.794
-1.698 -0.308 2.775
0.160 -2.052 2.539
-0.051 2.899 5.922
-0.496 0.461 6.559
1.362 -1.282 6.323
-1.254 2.130 2.138
2.023 1.294 6.365
-0.626 -1.317 4.801
-1.568 1.470 4.533
-1.832 -2.089 1.007
-2.774 0.699 0.739
0.389 0.249 1.223
```

**Energy above the most stable polymorph in this dataset**: 0 meV per atom
**ΔE_f**: -0.32 eV/atom


Record 4
The following is a PBE calculation of a relaxed CaAgAs crystal, from Alexandria.

POSCAR file:
```
CaAgAs
1.0
-5.786 0.192 0.425
-0.466 -2.126 -5.381
-0.019 -4.656 1.841
As Ca Ag
2 2 2
Cartesian
-0.240 -2.739 -2.028
-2.905 -2.884 1.391
-0.010 -2.328 0.921
-3.135 -3.295 -1.557
-0.250 -5.096 -1.096
-2.895 -0.527 0.459
```

**ΔE_f**: -0.50 eV/atom


The records above yield D(E_F) values of 5.82, 1.50, 5.76, 0.03 states/eV/f.u., respectively.